Crystalline Pu4Ga5Ni2 at its relaxed geometry, computed with PBE.

Summary:
DFT formation energy ... -25 kJ per mole of atoms
Uncorrected energy ... -7.90 eV per atom

The structure in CIF format:
```
data_Pu4Ga5Ni2
_symmetry_space_group_name_H-M 'P 1 2/m 1'
_symmetry_Int_Tables_number 10
_cell_length_a 7.2957
_cell_length_b 3.1060
_cell_length_c 9.5003
_cell_angle_alpha 90.00
_cell_angle_beta 93.81
_cell_angle_gamma 90.00
loop_
_symmetry_equiv_pos_as_xyz
'x,y,z'
'-x,-y,-z'
'-x,y,-z'
'x,-y,z'
loop_
_atom_site_label
_atom_site_type_symbol
_atom_site_fract_x
_atom_site_fract_y
_atom_site_fract_z
Pu1 Pu 0.1509 0.0000 0.3788
Pu2 Pu 0.2631 0.0000 0.9530
Ga1 Ga 0.2079 0.5000 0.6698
Ga2 Ga 0.4353 0.5000 0.2098
Ga3 Ga 0.5000 0.5000 0.5000
Ni1 Ni 0.0529 0.5000 0.1359
```

Crystalline CsUTeS6 at its relaxed geometry, computed with PBE.

Summary:
Uncorrected energy ... -5.07 eV per atom
ΔE_f (raw) ... -619.4 meV per atom

The structure in CIF format:
```
data_CsUTeS6
_symmetry_space_group_name_H-M 'P 3 1 2'
_symmetry_Int_Tables_number 149
_cell_length_a 6.6385
_cell_length_b 6.6385
_cell_length_c 8.1884
_cell_angle_alpha 90.00
_cell_angle_beta 90.00
_cell_angle_gamma 120.00
loop_
_symmetry_equiv_pos_as_xyz
'x,y,z'
'-y,x-y,z'
'-x+y,-x,z'
'-y,-x,-z'
'-x+y,y,-z'
'x,x-y,-z'
loop_
_atom_site_label
_atom_site_type_symbol
_atom_site_fract_x
_atom_site_fract_y
_atom_site_fract_z
Cs1 Cs 0.0000 0.0000 0.0000
U1 U 0.3333 0.6667 0.5000
Te1 Te 0.6667 0.3333 0.5000
S1 S 0.0019 0.3740 0.6837
```